(P)
Crystalline SrLi2CaPd at its relaxed geometry. Source: Alexandria, functional GGA-PBE.

Results
M_tot ... 0.00 μB/cell
Space-group type ... P4/mmm
V ... 31.8 Å³ per atom

a b c (Å): 5.0127 5.0127 6.3259
angles (deg): 90.00 90.00 90.00
Last column: nearest neighbours and their distance in Å.
Fractional coordinates of all 5 atoms:
Sr1 0.0000 0.0000 0.0000  4 Li 2.51
Li1 0.0000 0.5000 0.0000  2 Sr 2.51
Li2 0.5000 0.0000 0.0000  2 Sr 2.51
Ca1 0.0000 0.0000 0.5000  2 Sr 3.16
Pd1 0.5000 0.5000 0.5000  4 Ca 3.54

(Q)
Crystalline SrLi2CaPd at its relaxed geometry. Source: Alexandria, functional GGA-PBE.

Results
M_tot ... 0.00 μB/cell
Space-group type ... P4/mmm
V ... 29.5 Å³ per atom

a b c (Å): 5.2491 5.2491 5.3509
angles (deg): 90.00 90.00 90.00
Last column: nearest neighbours and their distance in Å.
Fractional coordinates of all 5 atoms:
Sr1 0.0000 0.0000 0.0000  4 Ca 3.71, 8 Li 3.75
Li1 0.0000 0.5000 0.5000  2 Pd 2.62
Li2 0.5000 0.0000 0.5000  2 Pd 2.62
Ca1 0.5000 0.5000 0.0000  2 Pd 2.68
Pd1 0.5000 0.5000 0.5000  4 Li 2.62, 2 Ca 2.68

How far above the most stable structure does each one sit? In meV per atom: (P) 1192; (Q) 0.